Entry one
The following is a DFT calculation (PBE) of a relaxed ZnGe2Bi crystal.

Summary:
V = 22.539 Å³/atom
SG = No. 225
DOS(E_F) = 2.0 states/eV/f.u.

Unit cell a=5.033 b=5.033 c=5.033 alpha=60.00 beta=60.00 gamma=60.00
Element x y z (fractional)
Ge 0.750 0.750 0.750
Ge 0.250 0.250 0.250
Bi 0.500 0.500 0.500
Zn 0.000 0.000 0.000

=====

Entry two
The following is a DFT calculation (PBE) of a relaxed ZnGe2Bi crystal.

Summary:
V = 28.243 Å³/atom
SG = No. 122
DOS(E_F) = 2.1 states/eV/f.u.

Unit cell a=6.104 b=6.104 c=7.444 alpha=65.80 beta=65.80 gamma=90.00
Element x y z (fractional)
Ge 0.170 0.625 0.250
Ge 0.875 0.830 0.750
Ge 0.375 0.420 0.750
Ge 0.580 0.125 0.250
Bi 0.000 0.000 0.000
Bi 0.750 0.250 0.500
Zn 0.500 0.500 0.000
Zn 0.250 0.750 0.500

=====

We find entry two to be the most stable, with the next structure 109 meV/atom higher.

=====

Entry one
The following is a DFT calculation (PBE) of a relaxed Zn2Ge2Bi crystal.

Summary:
V = 20.564 Å³/atom
SG = No. 127
DOS(E_F) = 1.5 states/eV/f.u.

Unit cell a=8.109 b=8.109 c=3.127 alpha=90.00 beta=90.00 gamma=90.00
Element x y z (fractional)
Zn 0.650 0.150 0.000
Zn 0.850 0.650 0.000
Zn 0.350 0.850 0.000
Zn 0.150 0.350 0.000
Bi 0.500 0.500 0.000
Bi 0.000 0.000 0.000
Ge 0.859 0.359 0.500
Ge 0.641 0.859 0.500
Ge 0.359 0.141 0.500
Ge 0.141 0.641 0.500

=====

Entry two
The following is a DFT calculation (PBE) of a relaxed Zn2Ge2Bi crystal.

Summary:
V = 20.971 Å³/atom
SG = No. 127
DOS(E_F) = 2.4 states/eV/f.u.

Unit cell a=8.173 b=8.173 c=3.139 alpha=90.00 beta=90.00 gamma=90.00
Element x y z (fractional)
Ge 0.828 0.672 0.000
Ge 0.328 0.828 0.000
Ge 0.672 0.172 0.000
Ge 0.172 0.328 0.000
Zn 0.377 0.123 0.500
Zn 0.623 0.877 0.500
Zn 0.877 0.377 0.500
Zn 0.123 0.623 0.500
Bi 0.000 0.000 0.000
Bi 0.500 0.500 0.000

=====

Entry three
The following is a DFT calculation (PBE) of a relaxed Zn2Ge2Bi crystal.

Summary:
V = 20.758 Å³/atom
SG = No. 139
DOS(E_F) = 2.2 states/eV/f.u.

Unit cell a=4.210 b=4.210 c=6.569 alpha=71.31 beta=71.31 gamma=90.00
Element x y z (fractional)
Zn 0.394 0.394 0.212
Zn 0.606 0.606 0.788
Ge 0.750 0.250 0.500
Ge 0.250 0.750 0.500
Bi 0.000 0.000 0.000

=====

We find entry three to be the most stable, with the next structure 26 meV/atom higher.

=====

Entry one
The following is a DFT calculation (PBE) of a relaxed ZnGe3Bi crystal.

Summary:
V = 23.848 Å³/atom
SG = No. 221
DOS(E_F) = 2.3 states/eV/f.u.

Unit cell a=4.922 b=4.922 c=4.922 alpha=90.00 beta=90.00 gamma=90.00
Element x y z (fractional)
Zn 0.000 0.000 0.000
Ge 0.000 0.000 0.500
Ge 0.000 0.500 0.000
Ge 0.500 0.000 0.000
Bi 0.500 0.500 0.500

=====

Entry two
The following is a DFT calculation (PBE) of a relaxed ZnGe3Bi crystal.

Summary:
V = 34.659 Å³/atom
SG = No. 221
DOS(E_F) = 4.1 states/eV/f.u.

Unit cell a=5.575 b=5.575 c=5.575 alpha=90.00 beta=90.00 gamma=90.00
Element x y z (fractional)
Zn 0.500 0.500 0.500
Ge 0.000 0.000 0.500
Ge 0.500 0.000 0.000
Ge 0.000 0.500 0.000
Bi 0.000 0.000 0.000

=====

We find entry one to be the most stable, with the next structure 661 meV/atom higher.

=====

Entry one
The following is a DFT calculation (PBE) of a relaxed ZnGe2Bi2 crystal.

Summary:
V = 25.589 Å³/atom
SG = No. 127
DOS(E_F) = 2.6 states/eV/f.u.

Unit cell a=8.140 b=8.140 c=3.862 alpha=90.00 beta=90.00 gamma=90.00
Element x y z (fractional)
Bi 0.159 0.659 0.500
Bi 0.841 0.341 0.500
Bi 0.659 0.841 0.500
Bi 0.341 0.159 0.500
Ge 0.367 0.867 0.000
Ge 0.633 0.133 0.000
Ge 0.133 0.367 0.000
Ge 0.867 0.633 0.000
Zn 0.000 0.000 0.000
Zn 0.500 0.500 0.000

=====

Entry two
The following is a DFT calculation (PBE) of a relaxed ZnGe2Bi2 crystal.

Summary:
V = 26.362 Å³/atom
SG = No. 127
DOS(E_F) = 2.7 states/eV/f.u.

Unit cell a=8.256 b=8.256 c=3.868 alpha=90.00 beta=90.00 gamma=90.00
Element x y z (fractional)
Ge 0.879 0.379 0.500
Ge 0.121 0.621 0.500
Ge 0.621 0.879 0.500
Ge 0.379 0.121 0.500
Bi 0.830 0.670 0.000
Bi 0.670 0.170 0.000
Bi 0.330 0.830 0.000
Bi 0.170 0.330 0.000
Zn 0.000 0.000 0.000
Zn 0.500 0.500 0.000

=====

We find entry one to be the most stable, with the next structure 28 meV/atom higher.